A relaxed Rb4NdTm3Se8 crystal. Source: the Alexandria database, functional PBE-GGA.

```
Rb4NdTm3Se8
1.0
8.480 0.000 0.000
0.000 9.357 0.613
-4.240 -4.239 5.998
Rb Nd Tm Se
4 1 3 8
Cartesian
4.240 0.000 0.000 Rb
2.120 -2.120 2.999 Rb
0.000 0.000 0.000 Rb
-2.120 -2.120 2.999 Rb
0.000 4.678 0.307 Nd
4.240 4.678 0.307 Tm
2.120 2.559 3.306 Tm
-2.120 2.559 3.306 Tm
-2.058 2.446 6.180 Se
0.000 4.503 3.269 Se
0.000 0.598 3.418 Se
2.058 2.446 6.180 Se
2.183 2.672 0.431 Se
4.240 4.520 3.193 Se
4.240 0.615 3.342 Se
6.298 2.672 0.431 Se
```

Output
**Size of the total moment**: 0.00 μB per formula unit
**Raw formation energy**: -1722 meV/atom
**Symmetry**: R-3m (166)

=====

A relaxed LaErS crystal. Source: the Alexandria database, functional PBE-GGA.

```
LaErS
1.0
-3.660 -5.496 0.127
0.190 -0.038 3.865
-2.880 1.877 -1.778
S La Er
1 1 1
Cartesian
-3.021 -0.509 0.144 S
-3.023 -2.687 2.060 La
-0.307 -0.461 0.011 Er
```

Output
**Size of the total moment**: 0.03 μB per formula unit
**Raw formation energy**: -1247 meV/atom
**Energy relative to the lowest polymorph listed for this composition**: 25 meV/atom
**Symmetry**: P3m1 (156)

=====

A relaxed Pu2Ge4Ir3Au crystal. Source: the Alexandria database, functional PBE-GGA.

```
Pu2Ge4Ir3Au
1.0
4.292 0.000 0.000
0.000 4.292 0.000
0.000 0.000 10.253
Pu Ge Ir Au
2 4 3 1
Cartesian
2.146 0.000 2.455 Pu
0.000 2.146 7.798 Pu
2.146 2.146 0.000 Ge
0.000 0.000 0.000 Ge
2.146 0.000 6.557 Ge
0.000 2.146 3.696 Ge
0.000 0.000 5.126 Ir
2.146 0.000 8.973 Ir
0.000 2.146 1.280 Ir
2.146 2.146 5.126 Au
```

Output
**Size of the total moment**: 10.56 μB per formula unit
**Total energy**: -8.159 eV/atom
**Symmetry**: P-4m2 (115)

=====

A relaxed Li23Ca6 crystal. Source: the Alexandria database, functional PBE-GGA.

```
Li23Ca6
1.0
8.714 0.000 5.031
2.905 8.216 5.031
0.000 0.000 10.062
Li Ca
23 6
Cartesian
5.810 4.108 10.062 Li
4.357 0.000 2.516 Li
1.452 4.108 7.547 Li
5.810 4.108 5.031 Li
0.000 0.000 5.031 Li
4.357 0.000 7.547 Li
1.452 4.108 2.516 Li
3.035 5.089 10.062 Li
7.197 5.089 7.660 Li
5.810 1.165 10.062 Li
7.197 5.089 12.465 Li
4.422 3.127 12.465 Li
8.584 3.127 10.062 Li
5.810 7.051 10.062 Li
4.422 3.127 7.660 Li
6.965 6.780 15.094 Li
9.589 6.780 13.579 Li
8.714 4.307 15.094 Li
9.589 6.780 16.608 Li
2.030 1.436 6.546 Li
4.654 1.436 5.031 Li
2.905 3.909 5.031 Li
2.030 1.436 3.517 Li
4.075 6.561 13.067 Ca
7.544 1.655 7.058 Ca
2.340 1.655 10.062 Ca
9.279 6.561 10.062 Ca
4.075 6.561 7.058 Ca
7.544 1.655 13.067 Ca
```

Output
**Size of the total moment**: 0.00 μB per formula unit
**Total energy**: -1.928 eV/atom
**Symmetry**: Fm-3m (225)

=====

A relaxed Dy5Ho2Er12 crystal. Source: the Alexandria database, functional PBE-GGA.

```
Dy5Ho2Er12
1.0
9.165 0.000 0.000
-4.583 7.597 1.060
0.000 -1.479 8.355
Dy Ho Er
5 2 12
Cartesian
0.000 2.661 5.269 Dy
0.000 3.018 8.811 Dy
0.000 -0.740 4.178 Dy
4.583 3.100 0.604 Dy
4.583 3.457 4.146 Dy
6.170 0.000 0.000 Ho
2.995 0.000 0.000 Ho
4.583 6.277 1.962 Er
-2.936 4.206 7.091 Er
2.936 4.206 7.091 Er
-1.755 5.133 3.560 Er
1.755 5.133 3.560 Er
0.000 5.753 6.494 Er
4.583 0.365 2.922 Er
6.338 0.985 5.855 Er
2.827 0.985 5.855 Er
7.519 1.912 2.324 Er
1.647 1.912 2.324 Er
0.000 -0.159 7.453 Er
```

Output
**Size of the total moment**: 0.00 μB per formula unit
**Energy relative to the lowest polymorph listed for this composition**: 35 meV/atom
**Symmetry**: C2/m (12)

=====

A relaxed MnV12Ge6 crystal. Source: the Alexandria database, functional PBE-GGA.

```
MnV12Ge6
1.0
6.988 -0.840 -1.006
-1.889 6.780 -1.006
-1.889 -2.201 6.491
Mn V Ge
1 12 6
Cartesian
0.000 0.000 0.000 Mn
3.281 2.750 1.967 V
0.930 3.462 3.057 V
2.221 1.281 3.952 V
-0.071 0.990 2.513 V
2.280 0.278 1.423 V
0.989 2.458 0.528 V
4.216 4.216 -0.035 V
-0.319 4.633 -0.243 V
4.628 -0.308 0.338 V
-1.006 -0.477 4.515 V
3.528 -0.893 4.723 V
-1.418 4.047 4.142 V
1.942 4.834 1.161 Ge
3.228 1.778 -0.484 Ge
-1.274 3.071 1.663 Ge
1.268 -1.094 3.318 Ge
-0.019 1.961 4.964 Ge
4.484 0.669 2.817 Ge
```

Output
**Size of the total moment**: 1.69 μB per formula unit
**Total energy**: -7.817 eV/atom
**Symmetry**: R-3 (148)

=====

A relaxed TeRu2 crystal. Source: the Alexandria database, functional PBE-GGA.

```
TeRu2
1.0
5.542 0.000 0.000
-2.771 4.800 0.000
0.000 0.000 7.971
Ru Te
8 4
Cartesian
0.000 0.000 0.000 Ru
0.000 0.000 3.985 Ru
2.771 3.138 1.993 Ru
0.000 1.662 5.978 Ru
1.439 0.831 1.993 Ru
4.103 0.831 1.993 Ru
-1.332 3.969 5.978 Ru
1.332 3.969 5.978 Ru
0.000 3.200 0.395 Te
2.771 1.600 4.381 Te
2.771 1.600 7.576 Te
0.000 3.200 3.590 Te
```

Output
**Size of the total moment**: 0.05 μB per formula unit
**Raw formation energy**: 674 meV/atom
**Energy relative to the lowest polymorph listed for this composition**: 560 meV/atom
**Symmetry**: P6_3/mmc (194)

=====

A relaxed CeZrAu2 crystal. Source: the Alexandria database, functional PBE-GGA.

```
CeZrAu2
1.0
3.427 0.000 0.000
0.000 3.427 0.000
0.000 0.000 7.638
Au Zr Ce
2 1 1
Cartesian
0.000 0.000 5.971 Au
0.000 0.000 1.666 Au
1.714 1.714 0.000 Zr
1.714 1.714 3.819 Ce
```

Output
**Size of the total moment**: 1.42 μB per formula unit
**Total energy**: -5.770 eV/atom
**Symmetry**: P4/mmm (123)

=====

A relaxed Ti3Re5 crystal. Source: the Alexandria database, functional PBE-GGA.

```
Ti3Re5
1.0
-2.268 4.889 0.089
-3.669 -3.655 -1.494
1.847 -1.214 4.916
Ti Re
3 5
Cartesian
-0.911 -2.435 1.711 Ti
-0.210 1.838 2.503 Ti
-2.968 0.617 -0.703 Ti
0.000 0.000 0.000 Re
-1.134 2.445 0.045 Re
-2.045 0.010 1.756 Re
-1.834 -1.828 -0.747 Re
0.923 -0.607 2.458 Re
```

Output
**Size of the total moment**: 0.00 μB per formula unit
**Total energy**: -11.126 eV/atom
**Symmetry**: Im-3m (229)

=====

A relaxed SrTa2Pt crystal. Source: the Alexandria database, functional PBE-GGA.

```
SrTa2Pt
1.0
5.861 0.013 0.000
3.052 5.004 0.000
-4.457 -2.509 2.863
Pt Sr Ta
1 1 2
Cartesian
1.526 2.502 1.432 Pt
2.930 0.007 1.432 Sr
0.000 0.000 0.000 Ta
4.457 2.509 0.000 Ta
```

Output
**Size of the total moment**: 0.00 μB per formula unit
**Energy relative to the lowest polymorph listed for this composition**: 421 meV/atom
**Symmetry**: I4/mmm (139)

=====

A relaxed LuTi3 crystal. Source: the Alexandria database, functional PBE-GGA.

```
LuTi3
1.0
-4.272 -0.542 0.292
0.614 -3.625 2.260
1.791 4.317 2.317
Lu Ti
1 3
Cartesian
0.000 0.000 0.000 Lu
-2.155 0.846 1.942 Ti
0.288 -0.695 2.927 Ti
-1.829 -2.083 1.276 Ti
```

Output
**Size of the total moment**: 0.00 μB per formula unit
**Energy relative to the lowest polymorph listed for this composition**: 80 meV/atom
**Symmetry**: I4/mmm (139)

=====

A relaxed Pm2Nd2Hg3 crystal. Source: the Alexandria database, functional PBE-GGA.

```
Pm2Nd2Hg3
1.0
-0.361 -4.889 1.932
5.184 1.156 3.893
-5.860 4.017 1.886
Pm Nd Hg
2 2 3
Cartesian
3.260 -1.351 4.376 Pm
-4.296 1.635 3.335 Pm
-0.444 -0.500 5.838 Nd
-0.593 0.784 1.873 Nd
2.592 0.578 1.947 Hg
1.432 1.655 4.455 Hg
-2.469 -1.371 3.256 Hg
```

Output
**Size of the total moment**: 0.00 μB per formula unit
**Energy relative to the lowest polymorph listed for this composition**: 43 meV/atom
**Symmetry**: C2/m (12)

=====

A relaxed LaCoGe2 crystal. Source: the Alexandria database, functional PBE-GGA.

```
LaCoGe2
1.0
0.000 3.393 3.393
3.393 0.000 3.393
3.393 3.393 0.000
Ge Co La
2 1 1
Cartesian
1.697 1.697 1.697 Ge
5.090 5.090 5.090 Ge
0.000 0.000 0.000 Co
3.393 3.393 3.393 La
```

Output
**Size of the total moment**: 1.15 μB per formula unit
**Total energy**: -5.425 eV/atom
**Symmetry**: Fm-3m (225)

=====

A relaxed Tm4HfMg5 crystal. Source: the Alexandria database, functional PBE-GGA.

```
Tm4HfMg5
1.0
3.654 0.000 0.000
0.000 3.654 0.000
0.000 0.000 18.928
Tm Hf Mg
4 1 5
Cartesian
0.000 0.000 3.570 Tm
0.000 0.000 7.518 Tm
0.000 0.000 11.411 Tm
0.000 0.000 15.359 Tm
0.000 0.000 0.000 Hf
1.827 1.827 1.659 Mg
1.827 1.827 5.548 Mg
1.827 1.827 9.464 Mg
1.827 1.827 13.380 Mg
1.827 1.827 17.269 Mg
```

Output
**Size of the total moment**: 0.00 μB per formula unit
**Total energy**: -3.573 eV/atom
**Symmetry**: P4/mmm (123)

=====

A relaxed KCrSeN2 crystal. Source: the Alexandria database, functional PBE-GGA.

```
KCrSeN2
1.0
3.896 0.000 0.000
0.000 3.896 0.000
0.000 0.000 5.008
Cr K Se N
1 1 1 2
Cartesian
0.000 0.000 0.000 Cr
1.948 1.948 2.504 K
0.000 0.000 2.504 Se
0.000 1.948 0.000 N
1.948 0.000 0.000 N
```

Output
**Size of the total moment**: 0.00 μB per formula unit
**Raw formation energy**: 437 meV/atom
**Energy relative to the lowest polymorph listed for this composition**: 0 meV/atom
**Symmetry**: P4/mmm (123)

=====

A relaxed Rb3Mn2AgCl8 crystal. Source: the Alexandria database, functional PBE-GGA.

```
Rb3Mn2AgCl8
1.0
-2.121 3.745 6.015
-1.098 -7.304 -0.387
8.397 -1.467 3.875
Rb Mn Ag Cl
3 2 1 8
Cartesian
3.784 -4.534 4.158 Rb
1.394 -0.492 5.346 Rb
0.000 0.000 0.000 Rb
0.280 -3.921 2.540 Mn
4.898 -1.105 6.963 Mn
4.199 -0.734 1.938 Ag
6.627 -5.030 5.470 Cl
-1.449 0.004 4.034 Cl
1.364 -5.923 1.894 Cl
3.814 0.897 7.609 Cl
1.913 -2.269 2.088 Cl
3.265 -2.757 7.416 Cl
0.302 -4.050 4.903 Cl
4.875 -0.976 4.600 Cl
```

Output
**Size of the total moment**: 10.00 μB per formula unit
**Raw formation energy**: -1380 meV/atom
**Symmetry**: P-3m1 (164)

=====

A relaxed Ba2InSn4 crystal. Source: the Alexandria database, functional PBE-GGA.

```
Ba2InSn4
1.0
-1.912 -5.595 -2.956
6.018 -2.889 1.576
-3.244 -1.225 10.140
Ba Sn In
4 8 2
Cartesian
0.953 -2.295 -0.385 Ba
-0.092 -7.414 9.145 Ba
2.983 -3.294 4.960 Ba
-2.121 -6.415 3.800 Ba
1.005 -5.127 2.133 Sn
-2.795 -5.962 7.205 Sn
3.657 -3.747 1.555 Sn
3.834 -6.486 2.874 Sn
1.251 -6.826 5.097 Sn
-2.973 -3.224 5.885 Sn
-0.143 -4.582 6.626 Sn
-0.389 -2.883 3.663 Sn
-0.795 -5.877 -0.274 In
1.657 -3.833 9.034 In
```

Output
**Size of the total moment**: 0.00 μB per formula unit
**Energy relative to the lowest polymorph listed for this composition**: 0 meV/atom
**Symmetry**: P2_1/m (11)

=====

A relaxed Rb2CdPb2 crystal. Source: the Alexandria database, functional PBE-GGA.

```
Rb2CdPb2
1.0
-1.367 6.905 0.309
-2.256 2.221 6.295
8.343 2.740 3.382
Rb Cd Pb
4 2 4
Cartesian
-0.001 4.256 1.983 Rb
0.794 7.530 4.663 Rb
4.721 7.611 8.002 Rb
3.925 4.336 5.322 Rb
-0.104 3.258 6.691 Cd
4.823 8.608 3.295 Cd
3.237 6.365 1.982 Pb
6.286 10.202 5.437 Pb
1.483 5.501 8.003 Pb
-1.567 1.664 4.548 Pb
```

Output
**Size of the total moment**: 0.00 μB per formula unit
**Energy relative to the lowest polymorph listed for this composition**: 0 meV/atom
**Symmetry**: C2/c (15)

=====

A relaxed Dy3Sc2Tl2 crystal. Source: the Alexandria database, functional PBE-GGA.

```
Dy3Sc2Tl2
1.0
3.526 0.000 -0.604
-0.195 4.882 -1.138
0.097 0.029 11.165
Dy Sc Tl
3 2 2
Cartesian
0.000 0.000 0.000 Dy
0.614 3.437 3.583 Dy
2.815 1.474 5.840 Dy
1.911 2.785 0.562 Sc
1.518 2.126 8.862 Sc
2.275 0.717 2.686 Tl
1.154 4.194 6.737 Tl
```

Output
**Size of the total moment**: 0.01 μB per formula unit
**Total energy**: -4.607 eV/atom
**Symmetry**: Immm (71)

=====

A relaxed TaSi2Tc crystal. Source: the Alexandria database, functional PBE-GGA.

```
TaSi2Tc
1.0
2.762 -0.028 0.000
-0.767 2.653 0.000
0.000 0.000 8.366
Si Ta Tc
2 1 1
Cartesian
0.000 0.000 8.290 Si
0.997 1.312 2.096 Si
0.000 0.000 4.157 Ta
0.997 1.312 6.373 Tc
```

Output
**Size of the total moment**: 0.00 μB per formula unit
**Raw formation energy**: 105 meV/atom
**Energy relative to the lowest polymorph listed for this composition**: 597 meV/atom
**Symmetry**: Cmm2 (35)